# Ho4CO4

An optimized crystal structure of Ho4CO4 (PBE-GGA, Alexandria).

extended XYZ file:
```
9
Lattice="-2.799 2.799 5.046 2.799 -2.799 5.046 2.799 2.799 -5.046" Properties=species:S:1:pos:R:3 pbc="T T T"
Ho 1.570 1.570 -1.183
Ho 1.228 -1.228 6.229
Ho 1.228 1.228 3.864
Ho -1.228 1.228 6.229
C 0.000 0.000 5.046
O 2.799 0.000 0.000
O 0.000 0.000 2.203
O 0.000 2.799 0.000
O 0.000 0.000 7.889
```

Summary:
Electronic total energy = -7.5214 eV/atom
Space-group type = I-42m
ΔE_f (raw) = -20.32 eV per formula unit